Entry 1:
The following is a PBEsol calculation of RuWBr after structural relaxation, from Alexandria.

abc: 2.951 2.951 6.352
angles: 90.00 90.00 120.00
Element x y z (fractional)
Ru  0.000  0.000  0.000
W  0.667  0.333  0.691
Br  0.333  0.667  0.364

## Properties
energy = -8.13 eV/atom
magnetization = 0.0 μB per cell
DOS(E_F) = 0.49 states/eV per atom
space group = P3m1, No. 156
energy relative to the elements, uncorrected = 490 meV/atom

Entry 2:
The following is a PBEsol calculation of YRuBr2 after structural relaxation, from Alexandria.

abc: 3.695 4.274 12.930
angles: 90.00 90.00 90.00
Element x y z (fractional)
Y  0.000  0.000  0.000
Y  0.500  0.500  0.500
Ru  0.000  0.000  0.500
Ru  0.500  0.500  0.000
Br  0.000  0.500  0.149
Br  0.000  0.500  0.851
Br  0.500  0.000  0.351
Br  0.500  0.000  0.649

## Properties
energy = -5.72 eV/atom
magnetization = 1.6 μB per cell
polymorph energy (0 for the lowest one) = 0.0636 eV per atom
DOS(E_F) = 0.39 states/eV per atom
space group = Immm, No. 71
energy relative to the elements, uncorrected = -541 meV/atom

Entry 3:
The following is a PBEsol calculation of YRu2Br after structural relaxation, from Alexandria.

abc: 10.329 3.141 4.515
angles: 90.00 92.10 90.00
Element x y z (fractional)
Y  0.000  0.000  0.000
Y  0.500  0.500  0.000
Ru  0.220  0.500  0.213
Ru  0.280  0.000  0.787
Ru  0.720  0.000  0.213
Ru  0.780  0.500  0.787
Br  0.000  0.500  0.500
Br  0.500  0.000  0.500

## Properties
energy = -7.07 eV/atom
magnetization = 0.0 μB per cell
polymorph energy (0 for the lowest one) = 0.2421 eV per atom
DOS(E_F) = 1.01 states/eV per atom
space group = C2/m, No. 12
energy relative to the elements, uncorrected = 187 meV/atom

Entry 4:
The following is a PBEsol calculation of YRu2Br after structural relaxation, from Alexandria.

abc: 3.308 3.301 14.688
angles: 90.00 90.00 90.00
Element x y z (fractional)
Y  0.000  0.000  0.000
Y  0.000  0.500  0.500
Ru  0.000  0.000  0.192
Ru  0.000  0.500  0.692
Ru  0.500  0.000  0.632
Ru  0.500  0.500  0.132
Br  0.500  0.000  0.377
Br  0.500  0.500  0.877

## Properties
energy = -7.31 eV/atom
magnetization = 0.0 μB per cell
polymorph energy (0 for the lowest one) = 0.0000 eV per atom
DOS(E_F) = 0.90 states/eV per atom
space group = Amm2, No. 38
energy relative to the elements, uncorrected = -55 meV/atom

Entry 5:
The following is a PBEsol calculation of YRu2Br after structural relaxation, from Alexandria.

abc: 3.773 3.773 9.903
angles: 90.00 90.00 90.00
Element x y z (fractional)
Y  0.000  0.000  0.000
Y  0.500  0.500  0.500
Ru  0.000  0.500  0.250
Ru  0.000  0.500  0.750
Ru  0.500  0.000  0.250
Ru  0.500  0.000  0.750
Br  0.000  0.000  0.500
Br  0.500  0.500  0.000

## Properties
energy = -6.98 eV/atom
magnetization = 0.0 μB per cell
polymorph energy (0 for the lowest one) = 0.3375 eV per atom
DOS(E_F) = 1.27 states/eV per atom
space group = I4/mmm, No. 139
energy relative to the elements, uncorrected = 282 meV/atom

Entry 6:
The following is a PBEsol calculation of YRuBr2 after structural relaxation, from Alexandria.

abc: 3.965 3.763 6.945
angles: 90.00 101.05 90.00
Element x y z (fractional)
Y  0.000  0.000  0.000
Ru  0.465  0.500  0.907
Br  0.366  0.000  0.664
Br  0.732  0.500  0.263

## Properties
energy = -5.79 eV/atom
magnetization = 0.0 μB per cell
polymorph energy (0 for the lowest one) = 0.0000 eV per atom
DOS(E_F) = 0.56 states/eV per atom
space group = Pm, No. 6
energy relative to the elements, uncorrected = -604 meV/atom

Entry 7:
The following is a PBEsol calculation of ZnRuBr after structural relaxation, from Alexandria.

abc: 6.012 6.012 6.012
angles: 90.00 90.00 90.00
Element x y z (fractional)
Zn  0.000  0.000  0.000
Zn  0.000  0.500  0.500
Zn  0.500  0.000  0.500
Zn  0.500  0.500  0.000
Ru  0.000  0.000  0.500
Ru  0.000  0.500  0.000
Ru  0.500  0.000  0.000
Ru  0.500  0.500  0.500
Br  0.250  0.250  0.750
Br  0.250  0.750  0.250
Br  0.750  0.250  0.250
Br  0.750  0.750  0.750

## Properties
energy = -3.40 eV/atom
magnetization = 3.9 μB per cell
DOS(E_F) = 1.22 states/eV per atom
space group = F-43m, No. 216
energy relative to the elements, uncorrected = 1138 meV/atom

Entry 8:
The following is a PBEsol calculation of ZnRu2Br after structural relaxation, from Alexandria.

abc: 2.836 4.950 8.557
angles: 90.00 90.00 90.00
Element x y z (fractional)
Zn  0.000  0.000  0.000
Zn  0.500  0.500  0.000
Ru  0.000  0.500  0.246
Ru  0.000  0.500  0.754
Ru  0.500  0.000  0.246
Ru  0.500  0.000  0.754
Br  0.000  0.000  0.500
Br  0.500  0.500  0.500

## Properties
energy = -5.23 eV/atom
magnetization = 0.0 μB per cell
polymorph energy (0 for the lowest one) = 0.1642 eV per atom
DOS(E_F) = 1.22 states/eV per atom
space group = Cmmm, No. 65
energy relative to the elements, uncorrected = 721 meV/atom

Entry 9:
The following is a PBEsol calculation of ZnRu2Br after structural relaxation, from Alexandria.

abc: 2.857 4.370 4.815
angles: 90.00 90.00 90.00
Element x y z (fractional)
Zn  0.000  0.000  0.000
Ru  0.000  0.500  0.500
Ru  0.500  0.500  0.000
Br  0.500  0.000  0.500

## Properties
energy = -5.22 eV/atom
magnetization = 0.9 μB per cell
polymorph energy (0 for the lowest one) = 0.1698 eV per atom
DOS(E_F) = 1.20 states/eV per atom
space group = Pmmm, No. 47
energy relative to the elements, uncorrected = 727 meV/atom

Entry 10:
The following is a PBEsol calculation of ZnRu2Br after structural relaxation, from Alexandria.

abc: 3.062 3.062 6.066
angles: 90.00 90.00 90.00
Element x y z (fractional)
Zn  0.000  0.000  0.000
Ru  0.500  0.500  0.238
Ru  0.500  0.500  0.762
Br  0.000  0.000  0.500

## Properties
energy = -5.39 eV/atom
magnetization = 0.0 μB per cell
polymorph energy (0 for the lowest one) = 0.0000 eV per atom
DOS(E_F) = 0.75 states/eV per atom
space group = P4/mmm, No. 123
energy relative to the elements, uncorrected = 557 meV/atom

Entry 11:
The following is a PBEsol calculation of ZnRu2Br after structural relaxation, from Alexandria.

abc: 2.904 4.212 5.136
angles: 90.00 99.07 90.00
Element x y z (fractional)
Zn  0.000  0.000  0.000
Ru  0.354  0.500  0.219
Ru  0.646  0.500  0.781
Br  0.500  0.000  0.500

## Properties
energy = -5.28 eV/atom
magnetization = 0.0 μB per cell
polymorph energy (0 for the lowest one) = 0.1090 eV per atom
DOS(E_F) = 0.99 states/eV per atom
space group = P2/m, No. 10
energy relative to the elements, uncorrected = 666 meV/atom

Entry 12:
The following is a PBEsol calculation of Zr2RuBr after structural relaxation, from Alexandria.

abc: 3.980 5.209 7.240
angles: 90.00 90.00 90.00
Element x y z (fractional)
Zr  0.000  0.000  0.240
Zr  0.000  0.000  0.760
Zr  0.500  0.500  0.260
Zr  0.500  0.500  0.740
Ru  0.000  0.500  0.500
Ru  0.500  0.000  0.000
Br  0.000  0.500  0.000
Br  0.500  0.000  0.500

## Properties
energy = -7.71 eV/atom
magnetization = 0.0 μB per cell
polymorph energy (0 for the lowest one) = 0.2875 eV per atom
DOS(E_F) = 0.75 states/eV per atom
space group = Immm, No. 71
energy relative to the elements, uncorrected = -152 meV/atom

Entry 13:
The following is a PBEsol calculation of ZrRuBr2 after structural relaxation, from Alexandria.

abc: 10.442 3.395 5.522
angles: 90.00 99.80 90.00
Element x y z (fractional)
Zr  0.000  0.000  0.000
Zr  0.500  0.500  0.000
Ru  0.379  0.000  0.746
Ru  0.879  0.500  0.746
Br  0.015  0.500  0.424
Br  0.229  0.500  0.004
Br  0.515  0.000  0.424
Br  0.729  0.000  0.004

## Properties
energy = -6.07 eV/atom
magnetization = 0.0 μB per cell
DOS(E_F) = 0.01 states/eV per atom
space group = Cm, No. 8
energy relative to the elements, uncorrected = -322 meV/atom

Entry 14:
The following is a PBEsol calculation of Zr2RuBr after structural relaxation, from Alexandria.

abc: 3.410 5.270 9.041
angles: 90.00 90.00 90.00
Element x y z (fractional)
Zr  0.000  0.000  0.000
Zr  0.000  0.500  0.283
Zr  0.500  0.000  0.283
Zr  0.500  0.500  0.000
Ru  0.000  0.000  0.481
Ru  0.500  0.500  0.481
Br  0.000  0.500  0.767
Br  0.500  0.000  0.767

## Properties
energy = -7.59 eV/atom
magnetization = 0.0 μB per cell
polymorph energy (0 for the lowest one) = 0.4072 eV per atom
DOS(E_F) = 0.87 states/eV per atom
space group = Cmm2, No. 35
energy relative to the elements, uncorrected = -32 meV/atom

Entry 15:
The following is a PBEsol calculation of Zr2RuBr after structural relaxation, from Alexandria.

abc: 3.293 3.293 7.318
angles: 90.00 90.00 90.00
Element x y z (fractional)
Zr  0.000  0.000  0.000
Zr  0.500  0.500  0.287
Ru  0.500  0.500  0.836
Br  0.000  0.000  0.519

## Properties
energy = -7.75 eV/atom
magnetization = 0.0 μB per cell
polymorph energy (0 for the lowest one) = 0.2434 eV per atom
DOS(E_F) = 0.55 states/eV per atom
space group = P4mm, No. 99
energy relative to the elements, uncorrected = -196 meV/atom

Entry 16:
The following is a PBEsol calculation of Zr2RuBr after structural relaxation, from Alexandria.

abc: 6.543 3.787 7.361
angles: 90.00 107.24 90.00
Element x y z (fractional)
Zr  0.230  0.000  0.191
Zr  0.270  0.500  0.809
Zr  0.730  0.500  0.191
Zr  0.770  0.000  0.809
Ru  0.000  0.500  0.000
Ru  0.500  0.000  0.000
Br  0.000  0.000  0.500
Br  0.500  0.500  0.500

## Properties
energy = -7.99 eV/atom
magnetization = 0.0 μB per cell
polymorph energy (0 for the lowest one) = 0.0000 eV per atom
DOS(E_F) = 0.95 states/eV per atom
space group = C2/m, No. 12
energy relative to the elements, uncorrected = -439 meV/atom

Entry 17:
The following is a PBEsol calculation of ZrRuBr3 after structural relaxation, from Alexandria.

abc: 4.894 4.894 4.894
angles: 90.00 90.00 90.00
Element x y z (fractional)
Zr  0.000  0.000  0.000
Ru  0.500  0.500  0.500
Br  0.000  0.500  0.500
Br  0.500  0.000  0.500
Br  0.500  0.500  0.000

## Properties
energy = -4.51 eV/atom
magnetization = 1.7 μB per cell
DOS(E_F) = 1.21 states/eV per atom
space group = Pm-3m, No. 221
energy relative to the elements, uncorrected = 464 meV/atom

Entry 18:
The following is a PBEsol calculation of Sb3SBr after structural relaxation, from Alexandria.

abc: 5.417 5.417 5.417
angles: 90.00 90.00 90.00
Element x y z (fractional)
Sb  0.000  0.000  0.500
Sb  0.000  0.500  0.000
Sb  0.500  0.000  0.000
S  0.500  0.500  0.500
Br  0.000  0.000  0.000

## Properties
energy = -2.73 eV/atom
magnetization = 0.7 μB per cell
DOS(E_F) = 1.68 states/eV per atom
space group = Pm-3m, No. 221
energy relative to the elements, uncorrected = 1257 meV/atom

Entry 19:
The following is a PBEsol calculation of SbSBr2 after structural relaxation, from Alexandria.

abc: 3.364 3.364 29.326
angles: 90.00 90.00 120.00
Element x y z (fractional)
Sb  0.000  0.000  0.000
Sb  0.333  0.667  0.667
Sb  0.667  0.333  0.333
S  0.000  0.000  0.500
S  0.333  0.667  0.167
S  0.667  0.333  0.833
Br  0.000  0.000  0.092
Br  0.000  0.000  0.908
Br  0.333  0.667  0.574
Br  0.333  0.667  0.759
Br  0.667  0.333  0.241
Br  0.667  0.333  0.426

## Properties
energy = -2.74 eV/atom
magnetization = 0.0 μB per cell
DOS(E_F) = 0.86 states/eV per atom
space group = R-3m, No. 166
energy relative to the elements, uncorrected = 427 meV/atom

Entry 20:
The following is a PBEsol calculation of SeS2Br after structural relaxation, from Alexandria.

abc: 6.598 6.598 6.598
angles: 90.00 90.00 90.00
Element x y z (fractional)
Se  0.000  0.000  0.000
Se  0.000  0.500  0.500
Se  0.500  0.000  0.500
Se  0.500  0.500  0.000
S  0.250  0.250  0.250
S  0.250  0.250  0.750
S  0.250  0.750  0.250
S  0.250  0.750  0.750
S  0.750  0.250  0.250
S  0.750  0.250  0.750
S  0.750  0.750  0.250
S  0.750  0.750  0.750
Br  0.000  0.000  0.500
Br  0.000  0.500  0.000
Br  0.500  0.000  0.000
Br  0.500  0.500  0.500

## Properties
energy = -2.85 eV/atom
magnetization = 0.0 μB per cell
DOS(E_F) = 0.64 states/eV per atom
space group = Fm-3m, No. 225
energy relative to the elements, uncorrected = 767 meV/atom